Arrangement P

First-principles (PBE-GGA) data for a relaxed structure of Li3Tl3In, as listed in Alexandria.

## Properties
DOS(E_F) ... 8.3 states/eV per cell
Volume ... 30.1 Å³ per atom
ρ ... 5.9 g/cm3
Spin magnetization ... 0.0 Bohr magnetons per cell

Cell lengths 7.5007, 7.5007, 7.5007 Å; angles 90.00, 90.00, 90.00 degrees
Atoms (fractional coordinates):
Li 0.5000 0.0000 0.7500
Li 0.5000 0.0000 0.2500
Li 0.7500 0.5000 0.0000
Li 0.2500 0.5000 0.0000
Li 0.0000 0.2500 0.5000
Li 0.0000 0.7500 0.5000
In 0.5000 0.5000 0.5000
In 0.0000 0.0000 0.0000
Tl 0.7500 0.0000 0.5000
Tl 0.0000 0.5000 0.7500
Tl 0.2500 0.0000 0.5000
Tl 0.5000 0.7500 0.0000
Tl 0.0000 0.5000 0.2500
Tl 0.5000 0.2500 0.0000

---

Arrangement Q

First-principles (PBE-GGA) data for a relaxed structure of Li3Tl3In, as listed in Alexandria.

## Properties
DOS(E_F) ... 5.5 states/eV per cell
Volume ... 23.7 Å³ per atom
ρ ... 7.5 g/cm3
Spin magnetization ... 0.0 Bohr magnetons per cell

Cell lengths 7.0982, 7.0982, 6.5877 Å; angles 89.99, 89.99, 89.43 degrees
Atoms (fractional coordinates):
Tl 0.4999 0.0001 0.2534
Tl 0.0000 0.0000 0.7580
Tl 0.0001 0.4999 0.2534
Tl 0.9999 0.5001 0.7466
Tl 0.5001 0.9999 0.7466
Tl 0.0000 0.0000 0.2420
Li 0.7498 0.2502 0.0000
Li 0.2524 0.7476 0.5000
Li 0.2502 0.7498 0.0000
Li 0.7476 0.2524 0.5000
Li 0.7287 0.7287 0.5000
Li 0.2713 0.2713 0.5000
In 0.3487 0.3487 0.9997
In 0.6513 0.6513 0.0003

---

Energetically preferred structure: arrangement Q | next structure: +38.9 kJ/mol of atoms

---

Arrangement P

First-principles (PBE-GGA) data for a relaxed structure of LiTl4In, as listed in Alexandria.

## Properties
DOS(E_F) ... 5.4 states/eV per cell
Volume ... 27.7 Å³ per atom
ρ ... 9.4 g/cm3
Spin magnetization ... 0.0 Bohr magnetons per cell

Cell lengths 9.7962, 9.7962, 9.7962 Å; angles 60.00, 60.00, 60.00 degrees
Atoms (fractional coordinates):
Tl 0.5616 0.9384 0.9384
Tl 0.8087 0.8087 0.1913
Tl 0.1913 0.8087 0.1913
Tl 0.9384 0.9384 0.5616
Tl 0.9384 0.5616 0.9384
Tl 0.1913 0.8087 0.8087
Tl 0.8087 0.1913 0.8087
Tl 0.8389 0.3870 0.3870
Tl 0.5616 0.9384 0.5616
Tl 0.5616 0.5616 0.9384
Tl 0.9384 0.5616 0.5616
Tl 0.3871 0.3870 0.3870
Tl 0.3871 0.3870 0.8389
Tl 0.8087 0.1913 0.1913
Tl 0.1913 0.1913 0.8087
Tl 0.3871 0.8389 0.3870
In 0.1666 0.1666 0.1666
In 0.1666 0.1666 0.5002
In 0.5002 0.1666 0.1666
In 0.1666 0.5002 0.1666
Li 0.5939 0.2183 0.5939
Li 0.5939 0.5939 0.2183
Li 0.5939 0.5939 0.5939
Li 0.2183 0.5939 0.5939

---

Arrangement Q

First-principles (PBE-GGA) data for a relaxed structure of LiTl4In, as listed in Alexandria.

## Properties
DOS(E_F) ... 3.2 states/eV per cell
Volume ... 29.5 Å³ per atom
ρ ... 8.8 g/cm3
Spin magnetization ... 0.0 Bohr magnetons per cell

Cell lengths 4.9003, 4.9184, 8.9251 Å; angles 73.95, 74.07, 60.12 degrees
Atoms (fractional coordinates):
Tl 0.6320 0.6298 0.1062
Tl 0.3680 0.3702 0.8938
Tl 0.1136 0.1104 0.6623
Tl 0.8864 0.8896 0.3377
In 0.5000 0.5000 0.5000
Li 0.0000 0.0000 0.0000

---

Arrangement R

First-principles (PBE-GGA) data for a relaxed structure of LiTl4In, as listed in Alexandria.

## Properties
DOS(E_F) ... 3.3 states/eV per cell
Volume ... 31.2 Å³ per atom
ρ ... 8.3 g/cm3
Spin magnetization ... 0.0 Bohr magnetons per cell

Cell lengths 6.4206, 6.4206, 6.4206 Å; angles 60.00, 60.00, 60.00 degrees
Atoms (fractional coordinates):
Tl 0.8754 0.3749 0.3749
Tl 0.3749 0.3749 0.8754
Tl 0.3749 0.3749 0.3749
Tl 0.3749 0.8754 0.3749
In 0.7500 0.7500 0.7500
Li 0.0000 0.0000 0.0000

---

Energetically preferred structure: arrangement P | next structure: +9.3 kJ/mol of atoms

---

Arrangement P

First-principles (PBE-GGA) data for a relaxed structure of Li3TlIn4, as listed in Alexandria.

## Properties
DOS(E_F) ... 2.5 states/eV per cell
Volume ... 22.5 Å³ per atom
ρ ... 6.3 g/cm3
Spin magnetization ... 0.0 Bohr magnetons per cell

Cell lengths 3.4764, 5.2277, 11.4868 Å; angles 118.96, 98.70, 90.00 degrees
Atoms (fractional coordinates):
Li 0.8768 0.7043 0.7537
Li 0.1232 0.2957 0.2463
Li 0.0000 0.5000 0.0000
In 0.7501 0.7436 0.5002
In 0.2499 0.2564 0.4998
In 0.6202 0.7866 0.2405
In 0.3798 0.2134 0.7595
Tl 0.5000 0.0000 0.0000

---

Arrangement Q

First-principles (PBE-GGA) data for a relaxed structure of Li3TlIn4, as listed in Alexandria.

## Properties
DOS(E_F) ... 2.6 states/eV per cell
Volume ... 23.0 Å³ per atom
ρ ... 6.2 g/cm3
Spin magnetization ... 0.0 Bohr magnetons per cell

Cell lengths 3.3047, 4.6226, 12.3740 Å; angles 79.93, 82.25, 90.12 degrees
Atoms (fractional coordinates):
Li 0.6500 0.1457 0.7035
Li 0.3500 0.8543 0.2965
Li 0.5000 0.5000 0.0000
In 0.8987 0.4020 0.1950
In 0.7816 0.2788 0.4395
In 0.1013 0.5980 0.8050
In 0.2184 0.7212 0.5605
Tl 0.0000 0.0000 0.0000

---

Energetically preferred structure: arrangement P | next structure: +3.7 kJ/mol of atoms

---

Arrangement P

First-principles (PBE-GGA) data for a relaxed structure of Li4TlIn2, as listed in Alexandria.

## Properties
DOS(E_F) ... 5.0 states/eV per cell
Volume ... 21.3 Å³ per atom
ρ ... 5.1 g/cm3
Spin magnetization ... 0.0 Bohr magnetons per cell

Cell lengths 9.2212, 6.2909, 5.2547 Å; angles 102.32, 90.00, 90.00 degrees
Atoms (fractional coordinates):
In 0.4992 0.1068 0.2874
In 0.5008 0.8932 0.7126
In 0.0008 0.6068 0.2874
In 0.9992 0.3932 0.7126
Tl 0.0000 0.0000 0.0000
Tl 0.5000 0.5000 0.0000
Li 0.7508 0.7480 0.9992
Li 0.2508 0.7520 0.0008
Li 0.6950 0.4987 0.4992
Li 0.3050 0.5013 0.5008
Li 0.1950 0.0013 0.5008
Li 0.7492 0.2480 0.9992
Li 0.2492 0.2520 0.0008
Li 0.8050 0.9987 0.4992

---

Arrangement Q

First-principles (PBE-GGA) data for a relaxed structure of Li4TlIn2, as listed in Alexandria.

## Properties
DOS(E_F) ... 3.1 states/eV per cell
Volume ... 22.8 Å³ per atom
ρ ... 4.8 g/cm3
Spin magnetization ... 0.0 Bohr magnetons per cell

Cell lengths 5.1542, 5.4599, 6.2863 Å; angles 115.74, 90.00, 90.00 degrees
Atoms (fractional coordinates):
Li 0.5000 0.6300 0.2601
Li 0.0000 0.7765 0.5530
Li 0.0000 0.2235 0.4470
Li 0.5000 0.3700 0.7399
Tl 0.0000 0.5000 0.0000
In 0.5000 0.8758 0.7517
In 0.5000 0.1242 0.2483

---

Energetically preferred structure: arrangement P | next structure: +11.5 kJ/mol of atoms

---

Arrangement P

First-principles (PBE-GGA) data for a relaxed structure of Li8TlIn2, as listed in Alexandria.

## Properties
DOS(E_F) ... 3.4 states/eV per cell
Volume ... 19.1 Å³ per atom
ρ ... 3.9 g/cm3
Spin magnetization ... 0.0 Bohr magnetons per cell

Cell lengths 4.8642, 7.6228, 8.0129 Å; angles 61.60, 73.56, 53.50 degrees
Atoms (fractional coordinates):
In 0.0000 0.3144 0.3712
In 0.0000 0.6856 0.6288
Li 0.5000 0.2035 0.5931
Li 0.7951 0.0966 0.2589
Li 0.2049 0.6445 0.2589
Li 0.2963 0.4283 0.0000
Li 0.7037 0.5717 0.0000
Li 0.5000 0.7965 0.4069
Li 0.7951 0.3555 0.7411
Li 0.2049 0.9034 0.7411
Tl 0.5000 0.0000 0.0000

---

Arrangement Q

First-principles (PBE-GGA) data for a relaxed structure of Li8TlIn2, as listed in Alexandria.

## Properties
DOS(E_F) ... 2.9 states/eV per cell
Volume ... 18.6 Å³ per atom
ρ ... 4.0 g/cm3
Spin magnetization ... 0.0 Bohr magnetons per cell

Cell lengths 4.7769, 5.3902, 8.2967 Å; angles 88.98, 106.73, 90.00 degrees
Atoms (fractional coordinates):
Li 0.8619 0.8380 0.7237
Li 0.0420 0.7355 0.0840
Li 0.1381 0.1620 0.2763
Li 0.9580 0.2645 0.9160
Li 0.5947 0.4603 0.1894
Li 0.6830 0.9067 0.3661
Li 0.3170 0.0933 0.6339
Li 0.4053 0.5397 0.8106
In 0.7805 0.3605 0.5610
In 0.2195 0.6395 0.4390
Tl 0.5000 0.0000 0.0000

---

Energetically preferred structure: arrangement Q | next structure: +7.2 kJ/mol of atoms

---

Arrangement P

First-principles (PBE-GGA) data for a relaxed structure of Li3Tl2In, as listed in Alexandria.

## Properties
DOS(E_F) ... 4.0 states/eV per cell
Volume ... 20.6 Å³ per atom
ρ ... 7.3 g/cm3
Spin magnetization ... 0.0 Bohr magnetons per cell

Cell lengths 4.7561, 7.5238, 7.2817 Å; angles 90.00, 90.00, 71.28 degrees
Atoms (fractional coordinates):
Li 0.5000 0.0000 0.2439
Li 0.8342 0.3320 0.2506
Li 0.8342 0.3320 0.7494
Li 0.5000 0.0000 0.7561
Li 0.1658 0.6680 0.7494
Li 0.1658 0.6680 0.2506
Tl 0.0000 0.0000 0.5000
Tl 0.0000 0.0000 0.0000
Tl 0.6664 0.6672 0.5000
Tl 0.3336 0.3328 0.5000
In 0.3285 0.3435 0.0000
In 0.6715 0.6565 0.0000

---

Arrangement Q

First-principles (PBE-GGA) data for a relaxed structure of Li3Tl2In, as listed in Alexandria.

## Properties
DOS(E_F) ... 1.5 states/eV per cell
Volume ... 20.9 Å³ per atom
ρ ... 7.2 g/cm3
Spin magnetization ... 0.0 Bohr magnetons per cell

Cell lengths 3.2665, 3.2665, 11.7338 Å; angles 90.00, 90.00, 90.00 degrees
Atoms (fractional coordinates):
Tl 0.5000 0.5000 0.8308
Tl 0.5000 0.5000 0.1692
Li 0.0000 0.0000 0.3371
Li 0.0000 0.0000 0.6629
Li 0.0000 0.0000 0.0000
In 0.5000 0.5000 0.5000

---

Energetically preferred structure: arrangement P | next structure: +1.0 kJ/mol of atoms

---

Arrangement P

First-principles (PBE-GGA) data for a relaxed structure of Li3TlIn3, as listed in Alexandria.

## Properties
DOS(E_F) ... 7.8 states/eV per cell
Volume ... 30.2 Å³ per atom
ρ ... 4.5 g/cm3
Spin magnetization ... 0.0 Bohr magnetons per cell

Cell lengths 7.5095, 7.5095, 7.5095 Å; angles 90.00, 90.00, 90.00 degrees
Atoms (fractional coordinates):
Li 0.5000 0.0000 0.2500
Li 0.2500 0.5000 0.0000
Li 0.0000 0.7500 0.5000
Li 0.7500 0.5000 0.0000
Li 0.0000 0.2500 0.5000
Li 0.5000 0.0000 0.7500
In 0.7500 0.0000 0.5000
In 0.5000 0.7500 0.0000
In 0.0000 0.5000 0.7500
In 0.0000 0.5000 0.2500
In 0.5000 0.2500 0.0000
In 0.2500 0.0000 0.5000
Tl 0.0000 0.0000 0.0000
Tl 0.5000 0.5000 0.5000

---

Arrangement Q

First-principles (PBE-GGA) data for a relaxed structure of Li3TlIn3, as listed in Alexandria.

## Properties
DOS(E_F) ... 5.5 states/eV per cell
Volume ... 22.7 Å³ per atom
ρ ... 5.9 g/cm3
Spin magnetization ... 0.0 Bohr magnetons per cell

Cell lengths 5.8320, 5.8320, 9.6388 Å; angles 82.27, 82.27, 97.17 degrees
Atoms (fractional coordinates):
Tl 0.6817 0.6817 0.0670
Tl 0.3183 0.3183 0.9330
Li 0.8339 0.1661 0.5000
Li 0.7948 0.2052 0.0000
Li 0.6708 0.6708 0.4106
Li 0.3292 0.3292 0.5894
Li 0.2052 0.7948 0.0000
Li 0.1661 0.8339 0.5000
In 0.4676 0.8274 0.7018
In 0.1726 0.5324 0.2982
In 0.8274 0.4676 0.7018
In 0.0275 0.0275 0.2335
In 0.5324 0.1726 0.2982
In 0.9725 0.9725 0.7665

---

Energetically preferred structure: arrangement Q | next structure: +41.5 kJ/mol of atoms

---

Arrangement P

First-principles (PBE-GGA) data for a relaxed structure of Li3TlIn, as listed in Alexandria.

## Properties
DOS(E_F) ... 4.8 states/eV per cell
Volume ... 28.1 Å³ per atom
ρ ... 4.0 g/cm3
Spin magnetization ... 0.0 Bohr magnetons per cell

Cell lengths 5.2016, 5.2016, 5.2016 Å; angles 90.00, 90.00, 90.00 degrees
Atoms (fractional coordinates):
In 0.0000 0.0000 0.0000
Li 0.0000 0.5000 0.0000
Li 0.0000 0.0000 0.5000
Li 0.5000 0.0000 0.0000
Tl 0.5000 0.5000 0.5000

---

Arrangement Q

First-principles (PBE-GGA) data for a relaxed structure of Li3TlIn, as listed in Alexandria.

## Properties
DOS(E_F) ... 4.0 states/eV per cell
Volume ... 24.3 Å³ per atom
ρ ... 4.7 g/cm3
Spin magnetization ... 0.0 Bohr magnetons per cell

Cell lengths 4.9185, 7.2644, 7.2644 Å; angles 110.67, 90.00, 90.00 degrees
Atoms (fractional coordinates):
Li 0.2500 0.8427 0.4890
Li 0.7500 0.4890 0.8427
Li 0.5000 0.0000 0.0000
Li 0.0000 0.0000 0.0000
Li 0.7500 0.1573 0.5110
Li 0.2500 0.5110 0.1573
Tl 0.2500 0.1994 0.8006
Tl 0.7500 0.8006 0.1994
In 0.7500 0.5642 0.4358
In 0.2500 0.4358 0.5642

---

Arrangement R

First-principles (PBE-GGA) data for a relaxed structure of Li3TlIn, as listed in Alexandria.

## Properties
DOS(E_F) ... 3.6 states/eV per cell
Volume ... 20.4 Å³ per atom
ρ ... 5.5 g/cm3
Spin magnetization ... 0.0 Bohr magnetons per cell

Cell lengths 4.8406, 6.3016, 7.1079 Å; angles 90.00, 70.13, 90.00 degrees
Atoms (fractional coordinates):
Li 0.8091 0.9975 0.8834
Li 0.0009 0.2500 0.4996
Li 0.9991 0.7500 0.5004
Li 0.1909 0.4975 0.1166
Li 0.8091 0.5025 0.8834
Li 0.1909 0.0025 0.1166
Tl 0.3861 0.2500 0.7307
Tl 0.6139 0.7500 0.2693
In 0.6180 0.2500 0.2646
In 0.3820 0.7500 0.7354

---

Energetically preferred structure: arrangement R | next structure: +18.1 kJ/mol of atoms

---

Arrangement P

First-principles (PBE-GGA) data for a relaxed structure of Li7Tl2In, as listed in Alexandria.

## Properties
DOS(E_F) ... 4.2 states/eV per cell
Volume ... 20.5 Å³ per atom
ρ ... 4.6 g/cm3
Spin magnetization ... 0.0 Bohr magnetons per cell

Cell lengths 3.0971, 12.5531, 12.5531 Å; angles 155.17, 90.00, 90.00 degrees
Atoms (fractional coordinates):
Li 0.5000 0.8590 0.6656
Li 0.5000 0.1410 0.3344
Li 0.5000 0.5000 0.5000
Li 0.5000 0.6656 0.8590
Li 0.0000 0.8022 0.1978
Li 0.5000 0.3344 0.1410
Li 0.0000 0.1978 0.8022
In 0.0000 0.0000 0.0000
Tl 0.5000 0.3011 0.6989
Tl 0.5000 0.6989 0.3011

---

Arrangement Q

First-principles (PBE-GGA) data for a relaxed structure of Li7Tl2In, as listed in Alexandria.

## Properties
DOS(E_F) ... 3.1 states/eV per cell
Volume ... 19.7 Å³ per atom
ρ ... 4.8 g/cm3
Spin magnetization ... 0.0 Bohr magnetons per cell

Cell lengths 4.7361, 4.7361, 10.1392 Å; angles 90.00, 90.00, 120.00 degrees
Atoms (fractional coordinates):
Tl 0.3333 0.6667 0.6318
Tl 0.6667 0.3333 0.2496
In 0.0000 0.0000 0.0520
Li 0.0000 0.0000 0.4157
Li 0.3333 0.6667 0.1324
Li 0.0000 0.0000 0.7459
Li 0.6667 0.3333 0.9354
Li 0.3333 0.6667 0.3722
Li 0.6667 0.3333 0.5566
Li 0.3333 0.6667 0.8917

---

Energetically preferred structure: arrangement Q | next structure: +2.5 kJ/mol of atoms